# 1
Entry from Alexandria: an optimized crystal structure of BC (PBE).

Results
energy above the lowest structure with this stoichiometry: 138 meV/atom
size of the total moment: 0.0 μB per formula unit
ΔE_f: 0.6 eV per formula unit

a b c (Å): 2.755 2.755 5.695
angles (deg): 78.10 87.67 60.29
Element x y z (fractional)
B  0.225  0.329  0.347
B  0.775  0.671  0.653
C  0.444  0.345  0.646
C  0.556  0.655  0.354


# 2
Entry from Alexandria: an optimized crystal structure of B9C (PBE).

Results
energy above the lowest structure with this stoichiometry: 226 meV/atom
size of the total moment: 0.0 μB per formula unit
ΔE_f: 4.6 eV per formula unit

a b c (Å): 10.501 10.501 10.501
angles (deg): 15.80 15.80 15.80
Element x y z (fractional)
B  0.000  0.000  0.000
B  0.055  0.055  0.055
B  0.239  0.239  0.239
B  0.296  0.296  0.296
B  0.396  0.396  0.396
B  0.490  0.490  0.490
B  0.585  0.585  0.585
B  0.643  0.643  0.643
B  0.881  0.881  0.881
C  0.829  0.829  0.829


# 3
Entry from Alexandria: an optimized crystal structure of B3C2 (PBE).

Results
energy above the lowest structure with this stoichiometry: 198 meV/atom
size of the total moment: 0.0 μB per formula unit
ΔE_f: 2.0 eV per formula unit

a b c (Å): 11.500 11.500 11.500
angles (deg): 167.82 167.82 17.26
Element x y z (fractional)
B  0.000  0.000  0.000
B  0.175  0.175  0.000
B  0.234  0.734  0.500
B  0.385  0.385  0.000
B  0.442  0.942  0.500
B  0.826  0.326  0.500
C  0.048  0.548  0.500
C  0.587  0.587  0.000
C  0.627  0.127  0.500
C  0.780  0.780  0.000


# 4
Entry from Alexandria: an optimized crystal structure of BC (PBE).

Results
energy above the lowest structure with this stoichiometry: 1534 meV/atom
size of the total moment: 0.0 μB per formula unit
ΔE_f: 3.4 eV per formula unit

a b c (Å): 1.887 3.692 3.429
angles (deg): 90.00 90.06 90.00
Element x y z (fractional)
B  0.005  0.250  0.251
B  0.995  0.750  0.749
C  0.116  0.750  0.250
C  0.884  0.250  0.750


# 5
Entry from Alexandria: an optimized crystal structure of BC (PBE).

Results
energy above the lowest structure with this stoichiometry: 278 meV/atom
size of the total moment: 0.0 μB per formula unit
ΔE_f: 0.9 eV per formula unit

a b c (Å): 4.511 4.511 6.575
angles (deg): 109.43 109.43 31.71
Element x y z (fractional)
B  0.000  0.000  0.000
B  0.021  0.021  0.742
B  0.165  0.165  0.568
B  0.384  0.384  0.576
B  0.616  0.616  0.185
C  0.221  0.221  0.839
C  0.386  0.386  0.330
C  0.581  0.581  0.408
C  0.803  0.803  0.957
C  0.808  0.808  0.204


# 6
Entry from Alexandria: an optimized crystal structure of BC (PBE).

Results
energy above the lowest structure with this stoichiometry: 242 meV/atom
size of the total moment: 0.0 μB per formula unit
ΔE_f: 0.8 eV per formula unit

a b c (Å): 4.967 2.585 6.297
angles (deg): 90.00 104.26 90.00
Element x y z (fractional)
B  0.000  0.000  0.000
B  0.085  0.000  0.746
B  0.200  0.500  0.604
B  0.376  0.000  0.021
B  0.585  0.500  0.711
B  0.890  0.500  0.327
C  0.294  0.500  0.391
C  0.396  0.000  0.299
C  0.549  0.500  0.957
C  0.726  0.000  0.409
C  0.747  0.000  0.649
C  0.861  0.500  0.072